VASP calculation (PBEsol) on an optimized crystal structure of Ba4GeP4.

Summary:
The value obtained for the total energy is -359.5 eV/cell. The formation energy comes out at -0.916 eV/atom. As for the space group: P-43n (218).

The structure in POSCAR format:
```
Ba4GeP4
1.0
13.0324 0.0000 0.0000
0.0000 13.0324 0.0000
0.0000 0.0000 13.0324
P Ba Ge
32 32 8
Direct
0.6121 0.6506 0.8957 P
0.1049 0.1049 0.8951 P
0.3494 0.8957 0.3879 P
0.8957 0.6121 0.6506 P
0.3879 0.6506 0.1043 P
0.6049 0.6049 0.3951 P
0.3951 0.3951 0.3951 P
0.1506 0.8879 0.6043 P
0.8951 0.1049 0.1049 P
0.6043 0.8494 0.1121 P
0.1043 0.3879 0.6506 P
0.1506 0.1121 0.3957 P
0.8879 0.3957 0.8494 P
0.8494 0.8879 0.3957 P
0.3957 0.8494 0.8879 P
0.1121 0.3957 0.1506 P
0.3494 0.1043 0.6121 P
0.3957 0.1506 0.1121 P
0.1121 0.6043 0.8494 P
0.6506 0.1043 0.3879 P
0.6506 0.8957 0.6121 P
0.8494 0.1121 0.6043 P
0.8957 0.3879 0.3494 P
0.6043 0.1506 0.8879 P
0.3879 0.3494 0.8957 P
0.8879 0.6043 0.1506 P
0.1043 0.6121 0.3494 P
0.6049 0.3951 0.6049 P
0.3951 0.6049 0.6049 P
0.1049 0.8951 0.1049 P
0.8951 0.8951 0.8951 P
0.6121 0.3494 0.1043 P
0.1450 0.8550 0.8550 Ba
0.0951 0.1327 0.6451 Ba
0.6327 0.4049 0.8549 Ba
0.4049 0.8549 0.6327 Ba
0.6450 0.6450 0.6450 Ba
0.3673 0.4049 0.1451 Ba
0.6451 0.0951 0.1327 Ba
0.3673 0.5951 0.8549 Ba
0.3550 0.6450 0.3550 Ba
0.9049 0.8673 0.6451 Ba
0.8673 0.6451 0.9049 Ba
0.1450 0.1450 0.1450 Ba
0.6451 0.9049 0.8673 Ba
0.8673 0.3549 0.0951 Ba
0.8550 0.8550 0.1450 Ba
0.8550 0.1450 0.8550 Ba
0.8549 0.6327 0.4049 Ba
0.6327 0.5951 0.1451 Ba
0.4049 0.1451 0.3673 Ba
0.3549 0.0951 0.8673 Ba
0.1327 0.3549 0.9049 Ba
0.3549 0.9049 0.1327 Ba
0.1451 0.3673 0.4049 Ba
0.9049 0.1327 0.3549 Ba
0.6450 0.3550 0.3550 Ba
0.0951 0.8673 0.3549 Ba
0.8549 0.3673 0.5951 Ba
0.5951 0.8549 0.3673 Ba
0.5951 0.1451 0.6327 Ba
0.1327 0.6451 0.0951 Ba
0.1451 0.6327 0.5951 Ba
0.3550 0.3550 0.6450 Ba
0.0000 0.5000 0.2500 Ge
0.0000 0.5000 0.7500 Ge
0.5000 0.7500 0.0000 Ge
0.5000 0.2500 0.0000 Ge
0.2500 0.0000 0.5000 Ge
0.7500 0.0000 0.5000 Ge
0.5000 0.5000 0.5000 Ge
0.0000 0.0000 0.0000 Ge
```